# Y3TaBi

A relaxed structure of Y3TaBi (PBE, Alexandria).

Lattice parameters (Å, degrees): 5.466 5.466 5.466 90.00 90.00 90.00
Fractional positions:
1 Y 0.000 0.500 0.000
2 Y 0.500 0.000 0.000
3 Y 0.000 0.000 0.500
4 Bi 0.500 0.500 0.500
5 Ta 0.000 0.000 0.000

* space-group type: Pm-3m (221)
* excess energy over the best structure of this formula in the dataset: 0 meV per atom
* calculated formation energy: 42.7 kJ per mole of atoms

***

# TaZn2Bi

A relaxed structure of TaZn2Bi (PBE, Alexandria).

Lattice parameters (Å, degrees): 7.706 7.706 6.130 51.06 51.06 90.00
Fractional positions:
1 Zn 0.606 0.125 0.250
2 Zn 0.144 0.625 0.250
3 Zn 0.875 0.856 0.750
4 Zn 0.375 0.394 0.750
5 Ta 0.500 0.500 0.000
6 Ta 0.250 0.750 0.500
7 Bi 0.000 0.000 0.000
8 Bi 0.750 0.250 0.500

* space-group type: I-42d (122)
* calculated formation energy: 56.8 kJ per mole of atoms

***

# TaZn3Bi

A relaxed structure of TaZn3Bi (PBE, Alexandria).

Lattice parameters (Å, degrees): 5.017 5.017 5.017 90.00 90.00 90.00
Fractional positions:
1 Zn 0.500 0.000 0.000
2 Zn 0.000 0.500 0.000
3 Zn 0.000 0.000 0.500
4 Bi 0.500 0.500 0.500
5 Ta 0.000 0.000 0.000

* space-group type: Pm-3m (221)
* excess energy over the best structure of this formula in the dataset: 0 meV per atom
* calculated formation energy: 88.4 kJ per mole of atoms